(1)
Material: RbTaTe2O8
Method: DFT, PBE
State: optimized geometry

Geometry as extended XYZ:
```
12
Lattice="-5.581 -1.188 0.654 -1.641 -3.959 4.030 -2.927 4.016 7.544" Properties=species:S:1:pos:R:3 pbc="T T T"
Rb -5.075 -0.565 6.114
Ta 0.000 0.000 0.000
Te -2.562 -0.511 2.430
Te -7.587 -0.620 9.798
O -7.584 -1.508 8.206
O -8.057 1.373 9.406
O -2.565 0.378 4.021
O -2.092 -2.504 2.821
O -5.898 -3.950 5.639
O -4.251 2.819 6.588
O -3.087 -3.351 5.310
O -7.062 2.221 6.918
```

The energy relative to the elements, uncorrected comes out at -138.2 kJ/mol of atoms. As for the symmetry: C2/m, No. 12. The value obtained for the size of the total moment is 0.00 μB per formula unit. As for the crystal system: monoclinic.


(2)
Material: Tb7Pd2Ru2
Method: DFT, PBE
State: optimized geometry

Geometry as extended XYZ:
```
11
Lattice="-1.883 -4.724 -4.268 4.209 -4.468 3.086 -4.123 -0.295 5.194" Properties=species:S:1:pos:R:3 pbc="T T T"
Tb -2.835 -6.049 -0.856
Tb -1.966 -5.946 5.332
Tb 1.037 -3.437 4.869
Tb 0.168 -3.540 -1.319
Tb 0.000 0.000 0.000
Tb 0.138 -5.844 2.766
Tb -1.936 -3.642 1.246
Pd -2.782 -6.316 2.297
Pd 0.984 -3.170 1.716
Ru 1.674 -7.904 1.570
Ru -3.472 -1.583 2.443
```

The value obtained for the formation energy from the elements is -3.81 eV per formula unit. As for the symmetry: Cmmm, No. 65. The value obtained for the size of the total moment is 0.00 μB per formula unit. As for the crystal system: orthorhombic.


(3)
Material: Hf3Se
Method: DFT, PBE
State: optimized geometry

Geometry as extended XYZ:
```
4
Lattice="-3.761 -0.183 -2.147 1.952 -2.117 -3.239 -0.911 -3.778 1.919" Properties=species:S:1:pos:R:3 pbc="T T T"
Hf 0.520 -2.947 -0.660
Hf -2.336 -1.980 -0.114
Hf -0.904 -1.150 -2.693
Se 0.000 0.000 0.000
```

The energy relative to the elements, uncorrected comes out at -10.2 kJ/mol of atoms. As for the symmetry: Pm-3m, No. 221. The value obtained for the size of the total moment is 0.00 μB per formula unit. As for the crystal system: cubic.


What did the first record say?
Material: RbTaTe2O8
Method: DFT, PBE
State: optimized geometry

Geometry as extended XYZ:
```
12
Lattice="-5.581 -1.188 0.654 -1.641 -3.959 4.030 -2.927 4.016 7.544" Properties=species:S:1:pos:R:3 pbc="T T T"
Rb -5.075 -0.565 6.114
Ta 0.000 0.000 0.000
Te -2.562 -0.511 2.430
Te -7.587 -0.620 9.798
O -7.584 -1.508 8.206
O -8.057 1.373 9.406
O -2.565 0.378 4.021
O -2.092 -2.504 2.821
O -5.898 -3.950 5.639
O -4.251 2.819 6.588
O -3.087 -3.351 5.310
O -7.062 2.221 6.918
```

The energy relative to the elements, uncorrected comes out at -138.2 kJ/mol of atoms. As for the symmetry: C2/m, No. 12. The value obtained for the size of the total moment is 0.00 μB per formula unit. As for the crystal system: monoclinic.